[1]
The following is a PBE calculation of a relaxed structure of NdPuAsS, from Alexandria.

Values from the calculation:
Formation energy without anion corrections (eV/atom): -1.61
Mass density (g/cm3): 8.3
Total moment (μB per cell): 16.377
DOS(E_F) (states/eV/f.u.): 8.98

Geometry as CIF:
```
data_NdPuAsS
_symmetry_space_group_name_H-M 'R 3 m'
_symmetry_Int_Tables_number 160
_symmetry_space_group_name_Hall 'R 3 -2"'
_cell_length_a 4.1375
_cell_length_b 4.1375
_cell_length_c 19.9803
_cell_angle_alpha 90.00
_cell_angle_beta 90.00
_cell_angle_gamma 120.00
loop_
_atom_site_label
_atom_site_type_symbol
_atom_site_fract_x
_atom_site_fract_y
_atom_site_fract_z
Nd1 Nd 0.0000 0.0000 0.0000
Pu1 Pu 0.0000 0.0000 0.4957
As1 As 0.0000 0.0000 0.2450
S1 S 0.0000 0.0000 0.7519
```



[2]
The following is a PBE calculation of a relaxed structure of Nd2PuScAs4, from Alexandria.

Values from the calculation:
Energy relative to the elements (kJ per mole of atoms): -127
Mass density (g/cm3): 7.2
Total moment (μB per cell): 4.940
DOS(E_F) (states/eV/f.u.): 13.03

Geometry as CIF:
```
data_Nd2PuScAs4
_symmetry_space_group_name_H-M 'P 1 2/m 1'
_symmetry_Int_Tables_number 10
_symmetry_space_group_name_Hall '-P 2y'
_cell_length_a 7.153
_cell_length_b 4.157
_cell_length_c 7.166
_cell_angle_alpha 90.00
_cell_angle_beta 109.46
_cell_angle_gamma 90.00
loop_
_atom_site_label
_atom_site_type_symbol
_atom_site_fract_x
_atom_site_fract_y
_atom_site_fract_z
Nd1 Nd 0.000 0.000 0.000
Nd2 Nd 0.500 0.500 0.000
Pu1 Pu 0.000 0.500 0.500
Sc1 Sc 0.500 0.000 0.500
As1 As 0.250 0.000 0.733
As2 As 0.262 0.500 0.270
```



[3]
The following is a PBE calculation of a relaxed structure of NdPuSc2As4, from Alexandria.

Values from the calculation:
Energy relative to the elements (kJ per mole of atoms): -124
Mass density (g/cm3): 6.9
Total moment (μB per cell): 4.936
DOS(E_F) (states/eV/f.u.): 12.84

Geometry as CIF:
```
data_NdPuSc2As4
_symmetry_space_group_name_H-M 'P 1 2/m 1'
_symmetry_Int_Tables_number 10
_symmetry_space_group_name_Hall '-P 2y'
_cell_length_a 6.968
_cell_length_b 4.059
_cell_length_c 7.019
_cell_angle_alpha 90.00
_cell_angle_beta 109.59
_cell_angle_gamma 90.00
loop_
_atom_site_label
_atom_site_type_symbol
_atom_site_fract_x
_atom_site_fract_y
_atom_site_fract_z
Nd1 Nd 0.000 0.000 0.000
Pu1 Pu 0.000 0.500 0.500
Sc1 Sc 0.500 0.000 0.500
Sc2 Sc 0.500 0.500 0.000
As1 As 0.267 0.000 0.751
As2 As 0.271 0.500 0.262
```



[4]
The following is a PBE calculation of a relaxed structure of NdSmPu2As4, from Alexandria.

Values from the calculation:
Energy relative to the elements (kJ per mole of atoms): -120
Mass density (g/cm3): 8.7
Total moment (μB per cell): 0.025
DOS(E_F) (states/eV/f.u.): 28.15

Geometry as CIF:
```
data_NdSmPu2As4
_symmetry_space_group_name_H-M 'P 1 2/m 1'
_symmetry_Int_Tables_number 10
_symmetry_space_group_name_Hall '-P 2y'
_cell_length_a 7.243
_cell_length_b 4.195
_cell_length_c 7.255
_cell_angle_alpha 90.00
_cell_angle_beta 109.54
_cell_angle_gamma 90.00
loop_
_atom_site_label
_atom_site_type_symbol
_atom_site_fract_x
_atom_site_fract_y
_atom_site_fract_z
Nd1 Nd 0.000 0.000 0.000
Sm1 Sm 0.000 0.500 0.500
Pu1 Pu 0.500 0.000 0.500
Pu2 Pu 0.500 0.500 0.000
As1 As 0.259 0.000 0.752
As2 As 0.260 0.500 0.256
```



[5]
The following is a PBE calculation of a relaxed structure of NdSm2PuAs4, from Alexandria.

Values from the calculation:
Energy relative to the elements (kJ per mole of atoms): -134
Mass density (g/cm3): 7.8
Total moment (μB per cell): 4.935
DOS(E_F) (states/eV/f.u.): 13.80

Geometry as CIF:
```
data_NdSm2PuAs4
_symmetry_space_group_name_H-M 'P 1 2/m 1'
_symmetry_Int_Tables_number 10
_symmetry_space_group_name_Hall '-P 2y'
_cell_length_a 7.284
_cell_length_b 4.215
_cell_length_c 7.286
_cell_angle_alpha 90.00
_cell_angle_beta 109.47
_cell_angle_gamma 90.00
loop_
_atom_site_label
_atom_site_type_symbol
_atom_site_fract_x
_atom_site_fract_y
_atom_site_fract_z
Nd1 Nd 0.000 0.000 0.000
Sm1 Sm 0.500 0.000 0.500
Sm2 Sm 0.500 0.500 0.000
Pu1 Pu 0.000 0.500 0.500
As1 As 0.246 0.000 0.743
As2 As 0.250 0.500 0.255
```



[6]
The following is a PBE calculation of a relaxed structure of TbNd2PuAs4, from Alexandria.

Values from the calculation:
Energy relative to the elements (kJ per mole of atoms): -134
Mass density (g/cm3): 7.8
Total moment (μB per cell): 4.933
DOS(E_F) (states/eV/f.u.): 13.70

Geometry as CIF:
```
data_TbNd2PuAs4
_symmetry_space_group_name_H-M 'P 1 2/m 1'
_symmetry_Int_Tables_number 10
_symmetry_space_group_name_Hall '-P 2y'
_cell_length_a 7.272
_cell_length_b 4.211
_cell_length_c 7.277
_cell_angle_alpha 90.00
_cell_angle_beta 109.46
_cell_angle_gamma 90.00
loop_
_atom_site_label
_atom_site_type_symbol
_atom_site_fract_x
_atom_site_fract_y
_atom_site_fract_z
Tb1 Tb 0.000 0.000 0.000
Nd1 Nd 0.000 0.500 0.500
Nd2 Nd 0.500 0.000 0.500
Pu1 Pu 0.500 0.500 0.000
As1 As 0.248 0.500 0.240
As2 As 0.255 0.000 0.761
```



[7]
The following is a PBE calculation of a relaxed structure of NdPuTeAs, from Alexandria.

Values from the calculation:
Formation energy without anion corrections (eV/atom): -1.31
Mass density (g/cm3): 8.5
Total moment (μB per cell): 16.811
DOS(E_F) (states/eV/f.u.): 11.49

Geometry as CIF:
```
data_NdPuTeAs
_symmetry_space_group_name_H-M 'R 3 m'
_symmetry_Int_Tables_number 160
_symmetry_space_group_name_Hall 'R 3 -2"'
_cell_length_a 4.3203
_cell_length_b 4.3203
_cell_length_c 21.5156
_cell_angle_alpha 90.00
_cell_angle_beta 90.00
_cell_angle_gamma 120.00
loop_
_atom_site_label
_atom_site_type_symbol
_atom_site_fract_x
_atom_site_fract_y
_atom_site_fract_z
Nd1 Nd 0.0000 0.0000 0.0000
Pu1 Pu 0.0000 0.0000 0.4837
Te1 Te 0.0000 0.0000 0.2392
As1 As 0.0000 0.0000 0.7439
```



[8]
The following is a PBE calculation of a relaxed structure of NdPu2ThAs4, from Alexandria.

Values from the calculation:
Energy relative to the elements (kJ per mole of atoms): -122
Mass density (g/cm3): 9.2
Total moment (μB per cell): 10.523
DOS(E_F) (states/eV/f.u.): 21.66

Geometry as CIF:
```
data_NdPu2ThAs4
_symmetry_space_group_name_H-M 'P 1 2/m 1'
_symmetry_Int_Tables_number 10
_symmetry_space_group_name_Hall '-P 2y'
_cell_length_a 7.250
_cell_length_b 4.220
_cell_length_c 7.308
_cell_angle_alpha 90.00
_cell_angle_beta 109.61
_cell_angle_gamma 90.00
loop_
_atom_site_label
_atom_site_type_symbol
_atom_site_fract_x
_atom_site_fract_y
_atom_site_fract_z
Nd1 Nd 0.000 0.000 0.000
Pu1 Pu 0.500 0.000 0.500
Pu2 Pu 0.500 0.500 0.000
Th1 Th 0.000 0.500 0.500
As1 As 0.258 0.000 0.751
As2 As 0.260 0.500 0.255
```



[9]
The following is a PBE calculation of a relaxed structure of NdPu3Th2As6, from Alexandria.

Values from the calculation:
Energy relative to the elements (kJ per mole of atoms): -121
Mass density (g/cm3): 9.4
Total moment (μB per cell): 32.069
DOS(E_F) (states/eV/f.u.): 31.96

Geometry as CIF:
```
data_NdPu3Th2As6
_symmetry_space_group_name_H-M 'C 1 2/m 1'
_symmetry_Int_Tables_number 12
_symmetry_space_group_name_Hall '-C 2y'
_cell_length_a 18.295
_cell_length_b 4.223
_cell_length_c 8.389
_cell_angle_alpha 90.00
_cell_angle_beta 102.70
_cell_angle_gamma 90.00
loop_
_atom_site_label
_atom_site_type_symbol
_atom_site_fract_x
_atom_site_fract_y
_atom_site_fract_z
Nd1 Nd 0.000 0.000 0.000
Pu1 Pu 0.000 0.000 0.500
Pu2 Pu 0.166 0.500 0.833
Th1 Th 0.166 0.500 0.331
As1 As 0.002 0.500 0.743
As2 As 0.165 0.000 0.587
As3 As 0.169 0.000 0.080
```



[10]
The following is a PBE calculation of a relaxed structure of NdPuTh2As4, from Alexandria.

Values from the calculation:
Energy relative to the elements (kJ per mole of atoms): -131
Mass density (g/cm3): 8.9
Total moment (μB per cell): 22.632
DOS(E_F) (states/eV/f.u.): 13.66

Geometry as CIF:
```
data_NdPuTh2As4
_symmetry_space_group_name_H-M 'I m m a'
_symmetry_Int_Tables_number 74
_symmetry_space_group_name_Hall '-I 2b 2'
_cell_length_a 8.465
_cell_length_b 8.492
_cell_length_c 11.990
_cell_angle_alpha 90.00
_cell_angle_beta 90.00
_cell_angle_gamma 90.00
loop_
_atom_site_label
_atom_site_type_symbol
_atom_site_fract_x
_atom_site_fract_y
_atom_site_fract_z
Nd1 Nd 0.250 0.250 0.250
Pu1 Pu 0.000 0.000 0.000
Th1 Th 0.000 0.000 0.500
Th2 Th 0.250 0.250 0.750
As1 As 0.000 0.002 0.751
As2 As 0.247 0.250 0.999
```



[11]
The following is a PBE calculation of a relaxed structure of Nd2PuTh3As6, from Alexandria.

Values from the calculation:
Energy relative to the elements (kJ per mole of atoms): -135
Mass density (g/cm3): 8.6
Total moment (μB per cell): 11.184
DOS(E_F) (states/eV/f.u.): 16.45

Geometry as CIF:
```
data_Nd2PuTh3As6
_symmetry_space_group_name_H-M 'C 1 2/m 1'
_symmetry_Int_Tables_number 12
_symmetry_space_group_name_Hall '-C 2y'
_cell_length_a 18.503
_cell_length_b 4.255
_cell_length_c 8.476
_cell_angle_alpha 90.00
_cell_angle_beta 103.08
_cell_angle_gamma 90.00
loop_
_atom_site_label
_atom_site_type_symbol
_atom_site_fract_x
_atom_site_fract_y
_atom_site_fract_z
Nd1 Nd 0.167 0.000 0.333
Pu1 Pu 0.000 0.500 0.000
Th1 Th 0.000 0.500 0.500
Th2 Th 0.167 0.000 0.834
As1 As 0.001 0.000 0.754
As2 As 0.166 0.500 0.081
As3 As 0.166 0.500 0.586
```



[12]
The following is a PBE calculation of a relaxed structure of Nd2Tm3PuAs6, from Alexandria.

Values from the calculation:
Energy relative to the elements (kJ per mole of atoms): -136
Mass density (g/cm3): 8.2
Total moment (μB per cell): 9.740
DOS(E_F) (states/eV/f.u.): 14.91

Geometry as CIF:
```
data_Nd2Tm3PuAs6
_symmetry_space_group_name_H-M 'C 1 2/m 1'
_symmetry_Int_Tables_number 12
_symmetry_space_group_name_Hall '-C 2y'
_cell_length_a 18.047
_cell_length_b 4.152
_cell_length_c 8.285
_cell_angle_alpha 90.00
_cell_angle_beta 103.14
_cell_angle_gamma 90.00
loop_
_atom_site_label
_atom_site_type_symbol
_atom_site_fract_x
_atom_site_fract_y
_atom_site_fract_z
Nd1 Nd 0.167 0.000 0.334
Tm1 Tm 0.000 0.500 0.500
Tm2 Tm 0.168 0.000 0.834
Pu1 Pu 0.000 0.500 0.000
As1 As 0.003 0.000 0.751
As2 As 0.164 0.500 0.591
As3 As 0.167 0.500 0.075
```